The following is a DFT calculation (PBE) of an optimized crystal structure of TbPm2TmSb4.

**Crystal system**: monoclinic
**Spin magnetization**: 0.0 μB per cell
**Symmetry**: P2/m (10)
**Formation energy (no corrections)**: -1144 meV per atom

abc: 4.436 7.678 7.671
angles: 109.50 90.00 90.00
Sites, in units of the cell vectors:
Tb 0.500 0.500 0.000
Pm 0.500 0.000 0.500
Pm 0.000 0.500 0.500
Tm 0.000 0.000 0.000
Sb 0.500 0.245 0.241
Sb 0.500 0.755 0.759
Sb 0.000 0.250 0.757
Sb 0.000 0.750 0.243



The following is a DFT calculation (PBE) of an optimized crystal structure of Li2AlCuH.

**Offset from the most stable computed form**: 0.0000 eV/atom
**Crystal system**: tetragonal
**Spin magnetization**: 0.0 μB per cell
**Symmetry**: P4/mmm (123)

abc: 3.702 3.702 4.157
angles: 90.00 90.00 90.00
Sites, in units of the cell vectors:
H 0.000 0.000 0.000
Al 0.000 0.000 0.500
Cu 0.500 0.500 0.500
Li 0.000 0.500 0.000
Li 0.500 0.000 0.000



The following is a DFT calculation (PBE) of an optimized crystal structure of Nd6SnGe2Te3.

**Crystal system**: monoclinic
**Spin magnetization**: 0.0 μB per cell
**Symmetry**: C2/m (12)
**Formation energy (no corrections)**: -1180 meV per atom

abc: 4.427 8.978 9.995
angles: 103.77 102.80 90.00
Sites, in units of the cell vectors:
Nd 0.333 0.898 0.667
Nd 0.673 0.569 0.346
Nd 0.667 0.102 0.333
Nd 0.008 0.250 0.015
Nd 0.992 0.750 0.985
Nd 0.327 0.431 0.654
Sn 0.500 0.000 0.000
Ge 0.832 0.665 0.665
Ge 0.168 0.335 0.335
Te 0.500 0.500 0.000
Te 0.835 0.168 0.671
Te 0.165 0.832 0.329



The following is a DFT calculation (PBE) of an optimized crystal structure of Li2Ca3In2.

**Crystal system**: orthorhombic
**Spin magnetization**: 0.0 μB per cell
**Symmetry**: Immm (71)
**Energy of formation**: -0.27 eV per atom

abc: 10.734 10.734 10.734
angles: 159.58 152.50 34.49
Sites, in units of the cell vectors:
Li 0.570 0.570 0.000
Li 0.430 0.430 0.000
Ca 0.000 0.000 0.000
Ca 0.696 0.196 0.500
Ca 0.304 0.804 0.500
In 0.137 0.637 0.500
In 0.863 0.363 0.500



The following is a DFT calculation (PBE) of an optimized crystal structure of Ce2SbSe.

**Offset from the most stable computed form**: 0.0086 eV/atom
**Crystal system**: tetragonal
**Spin magnetization**: 4.1 μB per cell
**Symmetry**: I4_1/amd (141)
**Formation energy (no corrections)**: -1411 meV per atom

abc: 6.189 6.189 7.550
angles: 114.19 114.19 90.00
Sites, in units of the cell vectors:
Ce 0.757 0.757 0.513
Ce 0.507 0.007 0.013
Ce 0.243 0.243 0.487
Ce 0.993 0.493 0.987
Sb 0.500 0.500 0.000
Sb 0.250 0.750 0.500
Se 0.750 0.250 0.500
Se 0.000 0.000 0.000



The following is a DFT calculation (PBE) of an optimized crystal structure of LaTi6Bi7O24.

**Crystal system**: triclinic
**Spin magnetization**: 0.0 μB per cell
**Symmetry**: P1 (1)
**Formation energy (no corrections)**: -2272 meV per atom

abc: 5.465 5.512 17.048
angles: 99.13 90.00 89.93
Sites, in units of the cell vectors:
La 0.492 0.857 0.626
Ti 0.478 0.311 0.503
Ti 0.986 0.808 0.502
Ti 0.485 0.444 0.754
Ti 0.986 0.680 0.244
Ti 0.482 0.181 0.244
Ti 0.989 0.934 0.754
Bi 0.007 0.018 0.073
Bi 0.509 0.938 0.920
Bi 0.958 0.436 0.919
Bi 0.461 0.518 0.073
Bi 0.987 0.338 0.634
Bi 0.490 0.695 0.366
Bi 0.978 0.195 0.366
O 0.552 0.499 0.858
O 0.044 0.635 0.140
O 0.726 0.253 0.999
O 0.225 0.252 0.997
O 0.279 0.630 0.489
O 0.697 0.067 0.522
O 0.215 0.448 0.280
O 0.712 0.170 0.718
O 0.412 0.404 0.617
O 0.915 0.797 0.388
O 0.425 0.135 0.141
O 0.918 0.003 0.858
O 0.763 0.668 0.719
O 0.251 0.948 0.280
O 0.274 0.740 0.750
O 0.769 0.987 0.256
O 0.553 0.300 0.388
O 0.051 0.917 0.617
O 0.698 0.488 0.255
O 0.198 0.239 0.745
O 0.244 0.752 0.997
O 0.743 0.753 0.999
O 0.765 0.574 0.523
O 0.192 0.125 0.486